Record 1
Material: CsNbTlO4
Method: DFT, PBE-GGA
State: relaxed

Uncorrected formation energy (eV per atom): -1.78
Symmetry: I-4 (82)
DOS(E_F) (states/eV per cell): 3.9
VASP energy (eV per atom): -6.510

Cell lengths 6.4472, 6.4472, 6.5026 Å; angles 119.72, 119.72, 90.00 degrees
Closest atoms and distances in Å follow each position.
Fractional coordinates of all 7 atoms:
1 O 0.3476 0.7545 0.2731  1 Nb 1.88
2 Nb 0.2500 0.7500 0.5000  4 O 1.88
3 Cs 0.0000 0.0000 0.0000  4 O 3.09
4 Tl 0.5000 0.5000 0.0000  4 O 2.38
5 O 0.4814 0.6524 0.7269  1 Nb 1.88
6 O 0.2455 0.0745 0.7269  1 Nb 1.88
7 O 0.9255 0.5186 0.2731  1 Nb 1.88


Record 2
Material: LaCuSi3
Method: DFT, PBE-GGA
State: relaxed

Uncorrected formation energy (eV per atom): -0.44
Symmetry: Cmmm (65)
DOS(E_F) (states/eV per cell): 2.0
VASP energy (eV per atom): -5.499

Cell lengths 4.1944, 4.1231, 10.9266 Å; angles 100.88, 90.00, 90.00 degrees
Closest atoms and distances in Å follow each position.
Fractional coordinates of all 10 atoms:
1 Si 0.0000 0.2792 0.5584  1 Cu 2.40, 2 Si 2.41
2 Cu 0.0000 0.6092 0.2183  5 Si 2.37-2.40
3 Si 0.0000 0.0544 0.1088  1 Si 2.34, 2 Cu 2.37
4 Cu 0.0000 0.3908 0.7817  5 Si 2.37-2.40
5 Si 0.5000 0.5546 0.1092  1 Si 2.34, 2 Cu 2.40
6 Si 0.0000 0.7208 0.4416  1 Cu 2.40, 2 Si 2.41
7 La 0.5000 0.8336 0.6671  10 Si 3.16-3.20, 4 Cu 3.19
8 Si 0.0000 0.9456 0.8912  1 Si 2.34, 2 Cu 2.37
9 Si 0.5000 0.4454 0.8908  1 Si 2.34, 2 Cu 2.40
10 La 0.5000 0.1664 0.3329  10 Si 3.16-3.20, 4 Cu 3.19


Record 3
Material: CsTa3Fe
Method: DFT, PBE-GGA
State: relaxed

Symmetry: Pm-3m (221)
DOS(E_F) (states/eV per cell): 4.3
VASP energy (eV per atom): -5.546
Formation energy (eV/atom): 3.428
Excess energy over the best structure of this formula in the dataset (meV/atom): 2003.5

Cell lengths 4.9926, 4.9926, 4.9926 Å; angles 90.00, 90.00, 90.00 degrees
Closest atoms and distances in Å follow each position.
Fractional coordinates of all 5 atoms:
1 Ta 0.0000 0.5000 0.0000  2 Cs 2.50
2 Ta 0.5000 0.0000 0.0000  2 Cs 2.50
3 Cs 0.0000 0.0000 0.0000  6 Ta 2.50
4 Fe 0.5000 0.5000 0.5000  12 Ta 3.53
5 Ta 0.0000 0.0000 0.5000  2 Cs 2.50


Record 4
Material: Ac8PmIr6
Method: DFT, PBE-GGA
State: relaxed

Symmetry: R-3 (148)
DOS(E_F) (states/eV per cell): 8.9
VASP energy (eV per atom): -6.618
Formation energy (eV/atom): -0.565

Cell lengths 7.5741, 7.5741, 11.0016 Å; angles 69.87, 69.87, 60.00 degrees
Closest atoms and distances in Å follow each position.
Fractional coordinates of all 15 atoms:
1 Ac 0.5587 0.8937 0.3192  3 Ir 2.90-2.95
2 Ir 0.7309 0.0579 0.8263  5 Ac 2.90-3.09, 1 Pm 3.03
3 Ir 0.2691 0.9421 0.1737  5 Ac 2.90-3.09, 1 Pm 3.03
4 Ac 0.1063 0.7716 0.6808  3 Ir 2.90-2.95
5 Ac 0.7716 0.4413 0.6808  3 Ir 2.90-2.95
6 Ac 0.2284 0.5587 0.3192  3 Ir 2.90-2.95
7 Pm 0.0000 0.0000 0.0000  6 Ir 3.03
8 Ir 0.9421 0.6151 0.1737  5 Ac 2.90-3.09, 1 Pm 3.03
9 Ac 0.6667 0.6667 0.9999  6 Ir 3.09
10 Ac 0.4413 0.1063 0.6808  3 Ir 2.90-2.95
11 Ir 0.0579 0.3849 0.8263  5 Ac 2.90-3.09, 1 Pm 3.03
12 Ir 0.6151 0.2691 0.1737  5 Ac 2.90-3.09, 1 Pm 3.03
13 Ac 0.3333 0.3333 0.0001  6 Ir 3.09
14 Ac 0.8937 0.2284 0.3192  3 Ir 2.90-2.95
15 Ir 0.3849 0.7309 0.8263  5 Ac 2.90-3.09, 1 Pm 3.03


Record 5
Material: K2BePb
Method: DFT, PBE-GGA
State: relaxed

Symmetry: P4/mmm (123)
DOS(E_F) (states/eV per cell): 2.7
VASP energy (eV per atom): -1.833
Formation energy (eV/atom): 0.574
Excess energy over the best structure of this formula in the dataset (meV/atom): 407.2

Cell lengths 3.5983, 3.5983, 10.4698 Å; angles 90.00, 90.00, 90.00 degrees
Closest atoms and distances in Å follow each position.
Fractional coordinates of all 4 atoms:
1 K 0.0000 0.0000 0.5224  4 Be 3.49, 4 K 3.60, 4 Pb 3.82
2 Pb 0.5000 0.5000 0.2500  4 Pb 3.60, 8 K 3.82
3 Be 0.5000 0.5000 0.7500  8 K 3.49, 4 Be 3.60
4 K 0.0000 0.0000 0.9776  4 Be 3.49, 4 K 3.60, 4 Pb 3.82


Record 6
Material: Dy2TlSi2Rh5
Method: DFT, PBE-GGA
State: relaxed

Uncorrected formation energy (eV per atom): -0.87
Symmetry: P4/mbm (127)
DOS(E_F) (states/eV per cell): 7.5
VASP energy (eV per atom): -6.791

Cell lengths 3.5382, 9.8425, 9.8425 Å; angles 90.00, 90.00, 90.00 degrees
Closest atoms and distances in Å follow each position.
Fractional coordinates of all 20 atoms:
1 Si 0.0000 0.8786 0.3786  6 Rh 2.41-2.45
2 Tl 0.0000 0.5000 0.5000  8 Rh 2.88
3 Rh 0.5000 0.4300 0.2802  2 Si 2.41
4 Si 0.0000 0.3786 0.1214  6 Rh 2.41-2.45
5 Rh 0.5000 0.0000 0.5000  4 Si 2.45
6 Dy 0.0000 0.3243 0.8243  3 Si 2.82-2.97, 6 Rh 3.02-3.10
7 Dy 0.0000 0.1757 0.3243  3 Si 2.82-2.97, 6 Rh 3.02-3.10
8 Si 0.0000 0.1214 0.6214  6 Rh 2.41-2.45
9 Dy 0.0000 0.6757 0.1757  3 Si 2.82-2.97, 6 Rh 3.02-3.10
10 Rh 0.5000 0.2802 0.5700  2 Si 2.41
11 Dy 0.0000 0.8243 0.6757  3 Si 2.82-2.97, 6 Rh 3.02-3.10
12 Rh 0.5000 0.5000 0.0000  4 Si 2.45
13 Rh 0.5000 0.2198 0.0700  2 Si 2.41
14 Rh 0.5000 0.7802 0.9300  2 Si 2.41
15 Rh 0.5000 0.5700 0.7198  2 Si 2.41
16 Rh 0.5000 0.9300 0.2198  2 Si 2.41
17 Rh 0.5000 0.0700 0.7802  2 Si 2.41
18 Si 0.0000 0.6214 0.8786  6 Rh 2.41-2.45
19 Tl 0.0000 0.0000 0.0000  8 Rh 2.88
20 Rh 0.5000 0.7198 0.4300  2 Si 2.41


Record 7
Material: CsK2Ag
Method: DFT, PBE-GGA
State: relaxed

Symmetry: R3m (160)
DOS(E_F) (states/eV per cell): 2.8
VASP energy (eV per atom): -1.396
Formation energy (eV/atom): 0.079
Excess energy over the best structure of this formula in the dataset (meV/atom): 47.4

Cell lengths 5.9836, 5.9836, 8.4963 Å; angles 69.38, 69.38, 60.00 degrees
Closest atoms and distances in Å follow each position.
Fractional coordinates of all 4 atoms:
1 K 0.2855 0.2855 0.1436  3 Ag 3.72, 3 K 4.03
2 Cs 0.4950 0.4950 0.5151  1 Ag 4.27, 6 K 4.45-4.50
3 Ag 0.6782 0.6782 0.9653  6 K 3.52-3.72
4 K 0.0414 0.0414 0.8759  3 Ag 3.52


Record 8
Material: SrSnSeN2
Method: DFT, PBE-GGA
State: relaxed

Uncorrected formation energy (eV per atom): 0.26
Symmetry: P4/mmm (123)
DOS(E_F) (states/eV per cell): 2.3
VASP energy (eV per atom): -4.902

Cell lengths 4.3007, 4.3007, 5.5242 Å; angles 90.00, 90.00, 90.00 degrees
Closest atoms and distances in Å follow each position.
Fractional coordinates of all 5 atoms:
1 Sr 0.5000 0.5000 0.5000  4 Se 3.04
2 N 0.0000 0.5000 0.0000  2 Sn 2.15
3 Sn 0.0000 0.0000 0.0000  4 N 2.15
4 Se 0.0000 0.0000 0.5000  2 Sn 2.76, 4 Sr 3.04
5 N 0.5000 0.0000 0.0000  2 Sn 2.15